Density functional theory data (GGA-PBE) for a geometry-optimized Pm5Cd3Ag12 structure.

Lattice parameters (Å, degrees): 14.472 14.472 14.472 109.47 109.47 109.47
Fractional positions:
Pm1 0.000 0.000 0.000
Pm2 0.000 0.000 0.500
Pm3 0.000 0.500 0.000
Pm4 0.000 0.500 0.500
Pm5 0.125 0.750 0.875
Pm6 0.125 0.875 0.250
Pm7 0.250 0.125 0.875
Pm8 0.250 0.625 0.375
Pm9 0.375 0.250 0.625
Pm10 0.375 0.625 0.750
Pm11 0.500 0.000 0.000
Pm12 0.500 0.000 0.500
Pm13 0.500 0.500 0.000
Pm14 0.500 0.500 0.500
Pm15 0.625 0.375 0.250
Pm16 0.625 0.750 0.375
Pm17 0.750 0.375 0.625
Pm18 0.750 0.875 0.125
Pm19 0.875 0.125 0.750
Pm20 0.875 0.250 0.125
Cd1 0.125 0.250 0.375
Cd2 0.125 0.375 0.750
Cd3 0.250 0.375 0.125
Cd4 0.250 0.875 0.625
Cd5 0.375 0.125 0.250
Cd6 0.375 0.750 0.125
Cd7 0.625 0.250 0.875
Cd8 0.625 0.875 0.750
Cd9 0.750 0.125 0.375
Cd10 0.750 0.625 0.875
Cd11 0.875 0.625 0.250
Cd12 0.875 0.750 0.625
Ag1 0.066 0.648 0.410
Ag2 0.066 0.918 0.656
Ag3 0.082 0.238 0.148
Ag4 0.082 0.344 0.934
Ag5 0.090 0.738 0.656
Ag6 0.090 0.852 0.434
Ag7 0.148 0.082 0.238
Ag8 0.148 0.566 0.910
Ag9 0.156 0.238 0.590
Ag10 0.156 0.418 0.566
Ag11 0.238 0.148 0.082
Ag12 0.238 0.590 0.156
Ag13 0.262 0.344 0.910
Ag14 0.262 0.418 0.352
Ag15 0.344 0.910 0.262
Ag16 0.344 0.934 0.082
Ag17 0.352 0.262 0.418
Ag18 0.352 0.590 0.934
Ag19 0.410 0.066 0.648
Ag20 0.410 0.844 0.762
Ag21 0.418 0.352 0.262
Ag22 0.418 0.566 0.156
Ag23 0.434 0.090 0.852
Ag24 0.434 0.844 0.582
Ag25 0.566 0.156 0.418
Ag26 0.566 0.910 0.148
Ag27 0.582 0.434 0.844
Ag28 0.582 0.648 0.738
Ag29 0.590 0.156 0.238
Ag30 0.590 0.934 0.352
Ag31 0.648 0.410 0.066
Ag32 0.648 0.738 0.582
Ag33 0.656 0.066 0.918
Ag34 0.656 0.090 0.738
Ag35 0.738 0.582 0.648
Ag36 0.738 0.656 0.090
Ag37 0.762 0.410 0.844
Ag38 0.762 0.852 0.918
Ag39 0.844 0.582 0.434
Ag40 0.844 0.762 0.410
Ag41 0.852 0.434 0.090
Ag42 0.852 0.918 0.762
Ag43 0.910 0.148 0.566
Ag44 0.910 0.262 0.344
Ag45 0.918 0.656 0.066
Ag46 0.918 0.762 0.852
Ag47 0.934 0.082 0.344
Ag48 0.934 0.352 0.590

Calculated volume   2333 Å³/cell
DOS at the Fermi energy   0.70 states/eV/atom
E_tot   -2.727 eV/atom